#a
## HfTc3Cl (GGA-PBE)

Data for an optimized crystal structure of HfTc3Cl.

```
HfTc3Cl
1.0
4.370 0.000 0.000
0.000 4.370 0.000
0.000 0.000 4.370
Hf Tc Cl
1 3 1
direct
0.000 0.000 0.000
0.000 0.500 0.500
0.500 0.000 0.500
0.500 0.500 0.000
0.500 0.500 0.500
```

Output
space-group type	Pm-3m
DOS at the Fermi energy	3.8	states/eV per cell

---

#b
## HfTc3Cl (GGA-PBE)

Data for an optimized crystal structure of HfTc3Cl.

```
HfTc3Cl
1.0
5.019 0.000 0.000
0.000 5.019 0.000
0.000 0.000 5.019
Hf Tc Cl
1 3 1
direct
0.000 0.000 0.000
0.000 0.000 0.500
0.000 0.500 0.000
0.500 0.000 0.000
0.500 0.500 0.500
```

Output
space-group type	Pm-3m
DOS at the Fermi energy	4.2	states/eV per cell

---

Energies in eV/atom, measured from the most stable structure: #a 0.000; #b 1.395.

---

#a
## HfTc2Cl (GGA-PBE)

Data for an optimized crystal structure of HfTc2Cl.

```
HfTc2Cl
1.0
-3.631 3.631 2.569
3.631 -3.631 2.569
3.631 3.631 -2.569
Hf Tc Cl
2 4 2
direct
0.000 0.000 0.000
0.750 0.250 0.500
0.206 0.625 0.081
0.375 0.456 0.581
0.544 0.125 0.919
0.875 0.794 0.419
0.250 0.750 0.500
0.500 0.500 0.000
```

Output
space-group type	I-42d
DOS at the Fermi energy	11.3	states/eV per cell

---

#b
## HfTc2Cl (GGA-PBE)

Data for an optimized crystal structure of HfTc2Cl.

```
HfTc2Cl
1.0
0.000 3.207 3.207
3.207 0.000 3.207
3.207 3.207 0.000
Hf Tc Cl
1 2 1
direct
0.000 0.000 0.000
0.250 0.250 0.250
0.750 0.750 0.750
0.500 0.500 0.500
```

Output
space-group type	Fm-3m
DOS at the Fermi energy	4.3	states/eV per cell

---

Energies in eV/atom, measured from the most stable structure: #a 0.000; #b 0.147.